# 1
MnCrCuGe, optimized geometry, DFT PBE-GGA; size of the total moment = 0.41 μB per cell; formation energy from the elements = 6.0 kJ/mol of atoms; space-group type = No. 216; calculated volume = 13.24 Å³ per atom
1.0
4.215 0.000 0.000
2.108 3.651 0.000
2.108 1.217 3.442
Ge Cr Cu Mn
1 1 1 1
Direct
0.000 0.000 0.000
0.750 0.750 0.750
0.250 0.250 0.250
0.500 0.500 0.500

***

# 2
Fe2Ir8Rh3, optimized geometry, DFT PBE-GGA; size of the total moment = 5.66 μB per cell; formation energy from the elements = 29.2 kJ/mol of atoms; space-group type = No. 65; calculated volume = 15.09 Å³ per atom
1.0
4.248 0.001 -0.002
-0.002 5.660 -2.354
0.003 0.062 8.131
Ir Rh Fe
8 3 2
Direct
0.500 0.408 0.238
0.000 0.143 0.285
0.000 0.672 0.344
0.500 0.830 0.238
0.500 0.170 0.762
0.000 0.857 0.715
0.000 0.328 0.656
0.500 0.592 0.762
0.000 0.283 0.000
0.500 0.000 0.000
0.000 0.717 0.000
0.500 0.235 0.471
0.500 0.765 0.529

***

What did the second record say?
Fe2Ir8Rh3, optimized geometry, DFT PBE-GGA; size of the total moment = 5.66 μB per cell; formation energy from the elements = 29.2 kJ/mol of atoms; space-group type = No. 65; calculated volume = 15.09 Å³ per atom
1.0
4.248 0.001 -0.002
-0.002 5.660 -2.354
0.003 0.062 8.131
Ir Rh Fe
8 3 2
Direct
0.500 0.408 0.238
0.000 0.143 0.285
0.000 0.672 0.344
0.500 0.830 0.238
0.500 0.170 0.762
0.000 0.857 0.715
0.000 0.328 0.656
0.500 0.592 0.762
0.000 0.283 0.000
0.500 0.000 0.000
0.000 0.717 0.000
0.500 0.235 0.471
0.500 0.765 0.529